(one)
Below is an optimized crystal structure of Cu2SiPt2, with properties calculated at the GGA-PBE level.

## Properties
* ρ: 11.97 g/cm3

Structure (CIF):
```
data_Cu2SiPt2
_symmetry_space_group_name_H-M 'P 4/m b m'
_symmetry_Int_Tables_number 127
_symmetry_space_group_name_Hall '-P 4 2ab'
_cell_length_a 6.2198
_cell_length_b 6.2198
_cell_length_c 3.9096
_cell_angle_alpha 90.00
_cell_angle_beta 90.00
_cell_angle_gamma 90.00
loop_
_atom_site_label
_atom_site_type_symbol
_atom_site_fract_x
_atom_site_fract_y
_atom_site_fract_z
_atom_site_occupancy
Cu1 Cu 0.1480 0.3520 0.0000 1
Si1 Si 0.0000 0.0000 0.5000 1
Pt1 Pt 0.1538 0.6538 0.5000 1
```

***

(two)
Below is an optimized crystal structure of Cu2SiPt2, with properties calculated at the GGA-PBE level.

## Properties
* ρ: 13.23 g/cm3

Structure (CIF):
```
data_Cu2SiPt2
_symmetry_space_group_name_H-M 'C 1 2/c 1'
_symmetry_Int_Tables_number 15
_cell_length_a 9.1770
_cell_length_b 4.9370
_cell_length_c 6.5897
_cell_angle_alpha 90.00
_cell_angle_beta 113.52
_cell_angle_gamma 90.00
loop_
_symmetry_equiv_pos_as_xyz
'x,y,z'
'-x,-y,-z'
'-x,y,-z+1/2'
'x,-y,z+1/2'
'x+1/2,y+1/2,z'
'-x+1/2,-y+1/2,-z'
'-x+1/2,y+1/2,-z+1/2'
'x+1/2,-y+1/2,z+1/2'
loop_
_atom_site_label
_atom_site_type_symbol
_atom_site_fract_x
_atom_site_fract_y
_atom_site_fract_z
_atom_site_occupancy
Cu1 Cu 0.1045 0.1176 0.4500 1
Si1 Si 0.0000 0.3082 0.7500 1
Pt1 Pt 0.1664 0.3903 0.1393 1
```

***

In terms of stability, (two) leads; the second structure lies 0.138 eV/atom higher.

***

(one)
Below is an optimized crystal structure of CuSiPt4, with properties calculated at the GGA-PBE level.

## Properties
* ρ: 15.52 g/cm3

Structure (CIF):
```
data_CuSiPt4
_symmetry_space_group_name_H-M 'P 1 21/c 1'
_symmetry_Int_Tables_number 14
_cell_length_a 7.4949
_cell_length_b 5.4742
_cell_length_c 4.5557
_cell_angle_alpha 90.00
_cell_angle_beta 93.54
_cell_angle_gamma 90.00
loop_
_symmetry_equiv_pos_as_xyz
'x,y,z'
'-x,-y,-z'
'-x,y+1/2,-z+1/2'
'x,-y+1/2,z+1/2'
loop_
_atom_site_label
_atom_site_type_symbol
_atom_site_fract_x
_atom_site_fract_y
_atom_site_fract_z
_atom_site_occupancy
Cu1 Cu 0.0000 0.0000 0.0000 1
Si1 Si 0.5000 0.0000 0.5000 1
Pt1 Pt 0.1875 0.1035 0.5177 1
Pt2 Pt 0.3357 0.6128 0.5322 1
```

***

(two)
Below is an optimized crystal structure of CuSiPt4, with properties calculated at the GGA-PBE level.

## Properties
* ρ: 14.13 g/cm3

Structure (CIF):
```
data_CuSiPt4
_symmetry_space_group_name_H-M 'F -4 3 m'
_symmetry_Int_Tables_number 216
_symmetry_space_group_name_Hall 'F -4 2 3'
_cell_length_a 7.4277
_cell_length_b 7.4277
_cell_length_c 7.4277
_cell_angle_alpha 90.00
_cell_angle_beta 90.00
_cell_angle_gamma 90.00
loop_
_atom_site_label
_atom_site_type_symbol
_atom_site_fract_x
_atom_site_fract_y
_atom_site_fract_z
_atom_site_occupancy
Cu1 Cu 0.0000 0.0000 0.0000 1
Si1 Si 0.2500 0.2500 0.2500 1
Pt1 Pt 0.1251 0.1251 0.6251 1
```

***

In terms of stability, (one) leads; the second structure lies 0.514 eV/atom higher.

***

(one)
Below is an optimized crystal structure of Cu4SiPt, with properties calculated at the GGA-PBE level.

## Properties
* ρ: 10.13 g/cm3

Structure (CIF):
```
data_Cu4SiPt
_symmetry_space_group_name_H-M 'F -4 3 m'
_symmetry_Int_Tables_number 216
_symmetry_space_group_name_Hall 'F -4 2 3'
_cell_length_a 6.7896
_cell_length_b 6.7896
_cell_length_c 6.7896
_cell_angle_alpha 90.00
_cell_angle_beta 90.00
_cell_angle_gamma 90.00
loop_
_atom_site_label
_atom_site_type_symbol
_atom_site_fract_x
_atom_site_fract_y
_atom_site_fract_z
_atom_site_occupancy
Cu1 Cu 0.1251 0.1251 0.1251 1
Si1 Si 0.0000 0.0000 0.5000 1
Pt1 Pt 0.2500 0.2500 0.7500 1
```

***

(two)
Below is an optimized crystal structure of Cu4SiPt, with properties calculated at the GGA-PBE level.

## Properties
* ρ: 10.38 g/cm3

Structure (CIF):
```
data_Cu4SiPt
_symmetry_space_group_name_H-M 'C 1 2/m 1'
_symmetry_Int_Tables_number 12
_cell_length_a 8.5117
_cell_length_b 3.9458
_cell_length_c 5.0125
_cell_angle_alpha 90.00
_cell_angle_beta 114.92
_cell_angle_gamma 90.00
loop_
_symmetry_equiv_pos_as_xyz
'x,y,z'
'-x,-y,-z'
'-x,y,-z'
'x,-y,z'
'x+1/2,y+1/2,z'
'-x+1/2,-y+1/2,-z'
'-x+1/2,y+1/2,-z'
'x+1/2,-y+1/2,z'
loop_
_atom_site_label
_atom_site_type_symbol
_atom_site_fract_x
_atom_site_fract_y
_atom_site_fract_z
_atom_site_occupancy
Cu1 Cu 0.1504 0.0000 0.3106 1
Cu2 Cu 0.1878 0.0000 0.8372 1
Si1 Si 0.0000 0.5000 0.0000 1
Pt1 Pt 0.0000 0.5000 0.5000 1
```

***

In terms of stability, (two) leads; the second structure lies 0.255 eV/atom higher.